Record 1
DFT (PBE) results for crystalline CeZn2Ag10 at its relaxed geometry.

Structure (POSCAR):
```
CeZn2Ag10
1.0
-3.430 4.109 -0.837
-5.250 0.220 5.057
2.128 6.040 3.397
Ag Zn Ce
10 2 1
Cartesian
-3.369 4.823 2.418
1.064 3.020 1.699
-2.675 2.239 4.418
-1.692 2.488 1.614
-0.651 5.074 1.280
-1.190 6.841 3.396
-3.182 5.546 5.199
-3.876 8.130 3.199
-4.859 7.881 6.004
-5.361 3.528 4.221
-4.340 2.164 2.110
-2.625 0.110 2.529
0.000 0.000 0.000
```

## Properties
- ΔH_f (0 K) (meV per atom) = -51
- D(E_F) (states/eV per cell) = 10.93
- DFT total energy (eV per atom) = -2.8972
- space-group type = Fmmm

Record 2
DFT (PBE) results for crystalline CeZn2Ag at its relaxed geometry.

Structure (POSCAR):
```
CeZn2Ag
1.0
-1.822 4.960 -1.046
-1.745 0.746 6.579
8.091 3.344 1.767
Ce Zn Ag
4 8 4
Cartesian
5.024 6.927 5.892
0.637 6.183 4.813
-0.499 2.123 1.409
3.887 2.867 2.487
-0.190 4.876 -0.239
0.290 3.535 6.438
4.715 4.175 7.539
-0.884 5.173 2.377
3.541 5.812 3.478
0.984 3.239 3.822
5.409 3.878 4.923
4.234 5.515 0.863
1.668 4.787 1.681
2.856 4.264 5.619
5.360 7.421 2.362
-0.836 1.629 4.939
```

## Properties
- ΔH_f (0 K) (meV per atom) = -185
- D(E_F) (states/eV per cell) = 27.20
- DFT total energy (eV per atom) = -3.0178
- space-group type = Pnma
- energy relative to the lowest polymorph listed for this composition (meV per atom) = 27

Record 3
DFT (PBE) results for crystalline CeZn2Ag2 at its relaxed geometry.

Structure (POSCAR):
```
CeZn2Ag2
1.0
-3.618 -1.669 -1.500
0.181 -3.053 2.961
-1.265 5.633 2.825
Ag Zn Ce
2 2 1
Cartesian
-1.401 0.109 3.259
-3.301 0.801 1.028
-2.371 -1.646 1.508
-2.331 2.556 2.778
0.000 0.000 0.000
```

## Properties
- ΔH_f (0 K) (meV per atom) = -145
- D(E_F) (states/eV per cell) = 8.98
- DFT total energy (eV per atom) = -2.9823
- space-group type = I4/mmm
- energy relative to the lowest polymorph listed for this composition (meV per atom) = 20

Record 4
DFT (PBE) results for crystalline Ce3Zn4Ag4 at its relaxed geometry.

Structure (POSCAR):
```
Ce3Zn4Ag4
1.0
-0.889 -2.706 -3.259
7.382 -0.697 -1.436
-2.890 -3.887 6.891
Ce Ag Zn
3 4 4
Cartesian
3.691 -0.349 -0.718
0.087 -1.360 1.106
3.515 -5.929 1.090
1.947 -3.496 -0.503
1.655 -3.794 2.699
-1.188 -3.525 3.252
4.790 -3.764 -1.056
3.850 -2.841 1.309
-0.247 -4.449 0.888
0.891 -1.479 -1.889
5.602 -1.924 -2.805
```

## Properties
- ΔH_f (0 K) (meV per atom) = -174
- D(E_F) (states/eV per cell) = 21.60
- DFT total energy (eV per atom) = -3.2920
- space-group type = Immm
- energy relative to the lowest polymorph listed for this composition (meV per atom) = 21

Record 5
DFT (PBE) results for crystalline CeZn10Ag2 at its relaxed geometry.

Structure (POSCAR):
```
CeZn10Ag2
1.0
5.393 0.000 0.000
2.696 6.420 0.000
2.696 0.000 6.355
Ag Ce Zn
2 1 10
Cartesian
4.045 3.210 0.000
1.348 3.210 0.000
0.000 0.000 0.000
8.089 4.170 2.284
8.089 5.058 4.948
5.393 2.249 2.284
5.393 4.170 4.071
5.393 5.058 1.407
2.696 1.362 1.407
2.696 2.249 4.071
1.348 0.000 3.177
5.393 1.362 4.948
4.045 0.000 3.177
```

## Properties
- ΔH_f (0 K) (meV per atom) = -116
- D(E_F) (states/eV per cell) = 10.89
- DFT total energy (eV per atom) = -1.9913
- space-group type = Fmmm

Record 6
DFT (PBE) results for crystalline Ce3Zn7Ag2 at its relaxed geometry.

Structure (POSCAR):
```
Ce3Zn7Ag2
1.0
-1.654 -5.019 -1.447
3.141 -3.085 -3.261
4.602 -6.130 5.629
Ce Zn Ag
3 7 2
Cartesian
2.772 -4.602 2.422
3.317 -9.632 -1.501
0.000 0.000 0.000
1.767 -4.892 -0.545
3.357 -6.454 -2.196
5.160 -6.801 2.199
4.323 -9.342 1.466
3.045 -7.117 0.460
2.732 -7.780 3.117
0.930 -7.433 -1.278
5.078 -8.815 4.025
1.012 -5.420 -3.104
```

## Properties
- ΔH_f (0 K) (meV per atom) = -222
- D(E_F) (states/eV per cell) = 19.83
- DFT total energy (eV per atom) = -2.9237
- space-group type = R-3m